[1]
KHgPd2Au | PBE-GGA | optimized geometry

a = 5.2046 Å, b = 5.2936 Å, c = 5.2046 Å
α = 90.00°, β = 90.00°, γ = 90.00°
Fractional coordinates of all 5 atoms:
1 K 0.5000 0.5000 0.5000
2 Au 0.0000 0.5000 0.0000
3 Hg 0.0000 0.0000 0.0000
4 Pd 0.0000 0.0000 0.5000
5 Pd 0.5000 0.0000 0.0000

Calculated values
Symmetry: P4/mmm
Density of states at the Fermi level: 0.341 states/eV/atom
Crystal system: tetragonal

***

[2]
KPrHgAu | PBE-GGA | optimized geometry

a = 5.4230 Å, b = 5.4230 Å, c = 5.4230 Å
α = 60.00°, β = 60.00°, γ = 60.00°
Fractional coordinates of all 4 atoms:
1 Pr 0.2500 0.2500 0.2500
2 K 0.7500 0.7500 0.7500
3 Au 0.0000 0.0000 0.0000
4 Hg 0.5000 0.5000 0.5000

Calculated values
Symmetry: F-43m
Density of states at the Fermi level: 0.680 states/eV/atom
Crystal system: cubic

***

[3]
K2Hg6PtAu | PBE-GGA | optimized geometry

a = 7.7601 Å, b = 7.5834 Å, c = 10.7874 Å
α = 90.00°, β = 90.00°, γ = 90.00°
Fractional coordinates of all 20 atoms:
1 K 0.5000 0.7504 0.2481
2 K 0.0000 0.2496 0.7481
3 K 0.5000 0.7504 0.7519
4 K 0.0000 0.2496 0.2519
5 Hg 0.5000 0.2477 0.2526
6 Hg 0.5000 0.2477 0.7474
7 Hg 0.0000 0.7523 0.2474
8 Hg 0.0000 0.7523 0.7526
9 Hg 0.2496 0.9829 0.5000
10 Hg 0.7504 0.9829 0.5000
11 Hg 0.2577 0.4792 0.5000
12 Hg 0.7423 0.4792 0.5000
13 Hg 0.7577 0.5208 0.0000
14 Hg 0.2423 0.5208 0.0000
15 Hg 0.2504 0.0171 0.0000
16 Hg 0.7496 0.0171 0.0000
17 Pt 0.5000 0.2263 0.5000
18 Pt 0.0000 0.7737 0.0000
19 Au 0.0000 0.7256 0.5000
20 Au 0.5000 0.2744 0.0000

Calculated values
Symmetry: Pmmn
Density of states at the Fermi level: 0.284 states/eV/atom
Crystal system: orthorhombic

***

The calculation returns the following total energy values, one per record and in order: -2.646, -2.654, -1.546 eV per atom.